#1
A relaxed structure of AcDy2Ge, computed with GGA-PBE.

Properties
* space-group type: R3m
* size of the total moment: 0.00 μB/atom
* density of states at the Fermi level: 4.25 states/eV/f.u.

Lattice parameters (Å, degrees): 4.0734 4.0734 28.3207 90.00 90.00 120.00
Atoms (fractional coordinates):
Ac1 0.0000 0.0000 0.0000
Ac2 0.3333 0.6667 0.6667
Ac3 0.6667 0.3333 0.3333
Dy1 0.0000 0.0000 0.2261
Dy2 0.0000 0.0000 0.4463
Dy3 0.3333 0.6667 0.1130
Dy4 0.3333 0.6667 0.8928
Dy5 0.6667 0.3333 0.5595
Dy6 0.6667 0.3333 0.7797
Ge1 0.0000 0.0000 0.8368
Ge2 0.3333 0.6667 0.5035
Ge3 0.6667 0.3333 0.1701

***

#2
A relaxed structure of AcDy2Ge, computed with GGA-PBE.

Properties
* space-group type: R-3m
* size of the total moment: 0.00 μB/atom
* density of states at the Fermi level: 4.75 states/eV/f.u.

Lattice parameters (Å, degrees): 4.0768 4.0768 28.3439 90.00 90.00 120.00
Atoms (fractional coordinates):
Ac1 0.0000 0.0000 0.0000
Ac2 0.3333 0.6667 0.6667
Ac3 0.6667 0.3333 0.3333
Dy1 0.0000 0.0000 0.2228
Dy2 0.0000 0.0000 0.7772
Dy3 0.3333 0.6667 0.4438
Dy4 0.3333 0.6667 0.8895
Dy5 0.6667 0.3333 0.1105
Dy6 0.6667 0.3333 0.5562
Ge1 0.0000 0.0000 0.5000
Ge2 0.3333 0.6667 0.1667
Ge3 0.6667 0.3333 0.8333

***

#3
A relaxed structure of AcDy2Ge, computed with GGA-PBE.

Properties
* space-group type: P4/mmm
* size of the total moment: 0.00 μB/atom
* density of states at the Fermi level: 5.95 states/eV/f.u.

Lattice parameters (Å, degrees): 4.8670 4.8670 4.8455 90.00 90.00 90.00
Atoms (fractional coordinates):
Ac1 0.0000 0.0000 0.0000
Dy1 0.0000 0.5000 0.5000
Dy2 0.5000 0.0000 0.5000
Ge1 0.5000 0.5000 0.0000

***

Short version: #3 is the least stable of them.